(1)
First-principles (PBE) data for a relaxed Ho2NiBr crystal, as listed in Alexandria via LeMat-Bulk.

```
Ho2NiBr
1.0
3.923 0.000 0.000
1.961 3.397 0.000
1.961 1.132 7.504
Ho Ni Br
2 1 1
Direct
0.270 0.270 0.189
0.730 0.730 0.811
0.000 0.000 0.000
0.500 0.500 0.500
```

## Properties
Mass density in g/cm³: 7.779
Raw total energy in eV per atom: -4.9701
Uncorrected formation energy in meV/atom: -817.7
Size of the total moment in μB per formula unit: 0.00
Energy above the most stable polymorph in this dataset in eV/atom: 0.000



(2)
First-principles (PBE) data for a relaxed Ho2NiBr crystal, as listed in Alexandria via LeMat-Bulk.

```
Ho2NiBr
1.0
-1.909 -2.522 2.319
1.158 -3.742 0.201
4.393 -0.344 6.560
Ni Ho Br
1 2 1
Direct
0.667 0.667 0.998
0.063 0.063 0.812
0.272 0.272 0.184
0.498 0.498 0.506
```

## Properties
Mass density in g/cm³: 7.712
Raw total energy in eV per atom: -4.9518
Uncorrected formation energy in meV/atom: -799.3
Size of the total moment in μB per formula unit: 0.00
Energy above the most stable polymorph in this dataset in eV/atom: 0.018